## LaCeAs (PBE-GGA)

Data for crystalline LaCeAs at its relaxed geometry.

Its volume is 27.1 A^3/atom. As for the symmetry: C2/m, No. 12. The value obtained for the energy of formation is -0.97 eV/atom.

Unit cell a=4.321 b=4.321 c=8.726 alpha=90.34 beta=90.34 gamma=90.16
Sites, in units of the cell vectors:
La  0.250  0.250  0.140
La  0.750  0.750  0.860
Ce  0.268  0.732  0.500
Ce  0.732  0.268  0.500
As  0.247  0.247  0.768
As  0.753  0.753  0.232